1.
# MgZrTc3, relaxed, DFT PBE
# Energy relative to the lowest polymorph listed for this composition   174.2 meV per atom
data_MgZrTc3
_cell_length_a 4.811
_cell_length_b 4.811
_cell_length_c 4.811
_cell_angle_alpha 90.00
_cell_angle_beta 90.00
_cell_angle_gamma 90.00
_symmetry_space_group_name_H-M 'P m -3 m'
_symmetry_Int_Tables_number 221
_symmetry_space_group_name_Hall '-P 4 2 3'
loop_
_atom_site_label
_atom_site_type_symbol
_atom_site_fract_x
_atom_site_fract_y
_atom_site_fract_z
Mg1 Mg 0.000 0.000 0.000
Zr1 Zr 0.500 0.500 0.500
Tc1 Tc 0.000 0.500 0.500

=====

2.
Compound: ScIn4Rh
Source: the Alexandria database
Functional: PBE
Structure: relaxed

```
data_ScIn4Rh
_cell_length_a 8.160
_cell_length_b 8.160
_cell_length_c 8.160
_cell_angle_alpha 90.00
_cell_angle_beta 90.00
_cell_angle_gamma 90.00
_symmetry_space_group_name_H-M 'F -4 3 m'
_symmetry_Int_Tables_number 216
_symmetry_space_group_name_Hall 'F -4 2 3'
loop_
_atom_site_label
_atom_site_type_symbol
_atom_site_fract_x
_atom_site_fract_y
_atom_site_fract_z
Sc1 Sc 0.000 0.000 0.000
In1 In 0.125 0.125 0.625
Rh1 Rh 0.250 0.250 0.250
```

=====

3.
# TlOs3F, relaxed, DFT PBE
# E_form (uncorrected)   1800 meV/atom
# Energy relative to the lowest polymorph listed for this composition   0.0 meV per atom
data_TlOs3F
_cell_length_a 4.319
_cell_length_b 4.319
_cell_length_c 4.319
_cell_angle_alpha 90.00
_cell_angle_beta 90.00
_cell_angle_gamma 90.00
_symmetry_space_group_name_H-M 'P m -3 m'
_symmetry_Int_Tables_number 221
_symmetry_space_group_name_Hall '-P 4 2 3'
loop_
_atom_site_label
_atom_site_type_symbol
_atom_site_fract_x
_atom_site_fract_y
_atom_site_fract_z
Tl1 Tl 0.000 0.000 0.000
Os1 Os 0.000 0.500 0.500
F1 F 0.500 0.500 0.500

=====

4.
# LiHPt3, relaxed, DFT PBE
# Energy relative to the lowest polymorph listed for this composition   0.0 meV per atom
data_LiHPt3
_cell_length_a 5.6633
_cell_length_b 5.6633
_cell_length_c 6.7940
_cell_angle_alpha 90.00
_cell_angle_beta 90.00
_cell_angle_gamma 120.00
_symmetry_space_group_name_H-M 'R 3 m'
_symmetry_Int_Tables_number 160
_symmetry_space_group_name_Hall 'R 3 -2"'
loop_
_atom_site_label
_atom_site_type_symbol
_atom_site_fract_x
_atom_site_fract_y
_atom_site_fract_z
Li1 Li 0.0000 0.0000 0.0000
H1 H 0.0000 0.0000 0.7258
Pt1 Pt 0.0151 0.5075 0.9913

=====

5.
# LaPr2Dy7, relaxed, DFT PBE
# Energy relative to the lowest polymorph listed for this composition   0.0 meV per atom
data_LaPr2Dy7
_cell_length_a 6.205
_cell_length_b 7.181
_cell_length_c 8.083
_cell_angle_alpha 76.97
_cell_angle_beta 75.03
_cell_angle_gamma 73.70
_symmetry_space_group_name_H-M 'P -1'
_symmetry_Int_Tables_number 2
loop_
_symmetry_equiv_pos_as_xyz
'x,y,z'
'-x,-y,-z'
loop_
_atom_site_label
_atom_site_type_symbol
_atom_site_fract_x
_atom_site_fract_y
_atom_site_fract_z
La1 La 0.000 0.000 0.000
Pr1 Pr 0.203 0.797 0.600
Dy1 Dy 0.000 0.500 0.000
Dy2 Dy 0.199 0.301 0.600
Dy3 Dy 0.400 0.101 0.199
Dy4 Dy 0.402 0.598 0.199

=====

6.
# CaTlSnCl5, relaxed, DFT PBE
# E_form (uncorrected)   -1509 meV/atom
data_CaTlSnCl5
_cell_length_a 10.143
_cell_length_b 11.519
_cell_length_c 10.271
_cell_angle_alpha 90.00
_cell_angle_beta 114.11
_cell_angle_gamma 90.00
_symmetry_space_group_name_H-M 'C 1 2/c 1'
_symmetry_Int_Tables_number 15
loop_
_symmetry_equiv_pos_as_xyz
'x,y,z'
'-x,-y,-z'
'-x,y,-z+1/2'
'x,-y,z+1/2'
'x+1/2,y+1/2,z'
'-x+1/2,-y+1/2,-z'
'-x+1/2,y+1/2,-z+1/2'
'x+1/2,-y+1/2,z+1/2'
loop_
_atom_site_label
_atom_site_type_symbol
_atom_site_fract_x
_atom_site_fract_y
_atom_site_fract_z
Ca1 Ca 0.250 0.250 0.000
Tl1 Tl 0.000 0.063 0.250
Sn1 Sn 0.000 0.493 0.250
Cl1 Cl 0.000 0.217 0.750
Cl2 Cl 0.045 0.331 0.093
Cl3 Cl 0.205 0.029 0.071

=====

7.
Compound: Ba2Tl5Cd2
Source: the Alexandria database
Functional: PBE
Structure: relaxed

```
data_Ba2Tl5Cd2
_cell_length_a 5.077
_cell_length_b 5.077
_cell_length_c 11.506
_cell_angle_alpha 90.00
_cell_angle_beta 90.00
_cell_angle_gamma 90.00
_symmetry_space_group_name_H-M 'P 4/m m m'
_symmetry_Int_Tables_number 123
_symmetry_space_group_name_Hall '-P 4 2'
loop_
_atom_site_label
_atom_site_type_symbol
_atom_site_fract_x
_atom_site_fract_y
_atom_site_fract_z
Ba1 Ba 0.000 0.000 0.000
Ba2 Ba 0.000 0.000 0.500
Tl1 Tl 0.000 0.500 0.226
Tl2 Tl 0.500 0.500 0.000
Cd1 Cd 0.500 0.500 0.377
```

=====

8.
# ZrTcRu2, relaxed, DFT PBE
# Energy relative to the lowest polymorph listed for this composition   29.6 meV per atom
data_ZrTcRu2
_cell_length_a 4.061
_cell_length_b 4.061
_cell_length_c 7.707
_cell_angle_alpha 90.00
_cell_angle_beta 90.00
_cell_angle_gamma 90.00
_symmetry_space_group_name_H-M 'I 4/m m m'
_symmetry_Int_Tables_number 139
_symmetry_space_group_name_Hall '-I 4 2'
loop_
_atom_site_label
_atom_site_type_symbol
_atom_site_fract_x
_atom_site_fract_y
_atom_site_fract_z
Zr1 Zr 0.000 0.000 0.000
Tc1 Tc 0.000 0.000 0.500
Ru1 Ru 0.000 0.500 0.250

=====

9.
Compound: VTc2Hg
Source: the Alexandria database
Functional: PBE
Structure: relaxed

```
data_VTc2Hg
_cell_length_a 3.918
_cell_length_b 3.918
_cell_length_c 18.454
_cell_angle_alpha 90.00
_cell_angle_beta 90.00
_cell_angle_gamma 90.00
_symmetry_space_group_name_H-M 'I -4 2 d'
_symmetry_Int_Tables_number 122
_symmetry_space_group_name_Hall 'I -4 2bw'
loop_
_atom_site_label
_atom_site_type_symbol
_atom_site_fract_x
_atom_site_fract_y
_atom_site_fract_z
V1 V 0.000 0.000 0.000
Tc1 Tc 0.179 0.250 0.125
Hg1 Hg 0.000 0.000 0.500
```

=====

10.
# Ag4S2Cl5, relaxed, DFT PBE
# E_form (uncorrected)   -296 meV/atom
# Energy relative to the lowest polymorph listed for this composition   0.0 meV per atom
data_Ag4S2Cl5
_cell_length_a 4.041
_cell_length_b 8.431
_cell_length_c 8.599
_cell_angle_alpha 102.26
_cell_angle_beta 94.57
_cell_angle_gamma 103.42
_symmetry_space_group_name_H-M 'P -1'
_symmetry_Int_Tables_number 2
loop_
_symmetry_equiv_pos_as_xyz
'x,y,z'
'-x,-y,-z'
loop_
_atom_site_label
_atom_site_type_symbol
_atom_site_fract_x
_atom_site_fract_y
_atom_site_fract_z
Ag1 Ag 0.016 0.013 0.291
Ag2 Ag 0.346 0.621 0.861
S1 S 0.460 0.935 0.889
Cl1 Cl 0.130 0.361 0.334
Cl2 Cl 0.221 0.314 0.880
Cl3 Cl 0.500 0.000 0.500

=====

11.
Compound: SrZnPb2
Source: the Alexandria database
Functional: PBE
Structure: relaxed

```
data_SrZnPb2
_cell_length_a 3.973
_cell_length_b 3.973
_cell_length_c 7.435
_cell_angle_alpha 90.00
_cell_angle_beta 90.00
_cell_angle_gamma 90.00
_symmetry_space_group_name_H-M 'P 4/m m m'
_symmetry_Int_Tables_number 123
_symmetry_space_group_name_Hall '-P 4 2'
loop_
_atom_site_label
_atom_site_type_symbol
_atom_site_fract_x
_atom_site_fract_y
_atom_site_fract_z
Sr1 Sr 0.000 0.000 0.000
Zn1 Zn 0.000 0.000 0.500
Pb1 Pb 0.500 0.500 0.294
```

=====

12.
Compound: Zn3Pt2Au
Source: the Alexandria database
Functional: PBE
Structure: relaxed

```
data_Zn3Pt2Au
_cell_length_a 2.922
_cell_length_b 2.922
_cell_length_c 10.647
_cell_angle_alpha 90.00
_cell_angle_beta 90.00
_cell_angle_gamma 90.00
_symmetry_space_group_name_H-M 'P 4/m m m'
_symmetry_Int_Tables_number 123
_symmetry_space_group_name_Hall '-P 4 2'
loop_
_atom_site_label
_atom_site_type_symbol
_atom_site_fract_x
_atom_site_fract_y
_atom_site_fract_z
Zn1 Zn 0.000 0.000 0.000
Zn2 Zn 0.000 0.000 0.321
Pt1 Pt 0.500 0.500 0.163
Au1 Au 0.500 0.500 0.500
```

=====

Listing total DFT energy (no corrections) for the structures above in their given order: -6.605, -3.883, -5.786, -4.973, -4.649, -3.709, -2.173, -9.396, -6.746, -2.922, -2.743, -3.643 eV/atom.